First-principles (PBE) data for a relaxed CaIn4P crystal, as listed in the Alexandria database.

Calculated values
Energy above the most stable polymorph in this dataset: 6 meV/atom
Uncorrected energy: -19.30 eV per formula unit
Density of states at the Fermi level: 4.6 states/eV/cell
Theoretical density: 5.711 g cm⁻³
Formation enthalpy at 0 K: -156 meV/atom

Cell: 7.324 5.020 8.388 Å, 90.00 90.00 90.00°
Element x y z (fractional)
Ca: 0.250 0.000 0.140
Ca: 0.750 0.000 0.860
In: 0.000 0.000 0.500
In: 0.047 0.500 0.821
In: 0.250 0.500 0.445
In: 0.453 0.500 0.821
In: 0.500 0.000 0.500
In: 0.547 0.500 0.179
In: 0.750 0.500 0.555
In: 0.953 0.500 0.179
P: 0.250 0.000 0.802
P: 0.750 0.000 0.198

---

First-principles (PBE) data for a relaxed CaInP crystal, as listed in the Alexandria database.

Calculated values
Uncorrected energy: -11.35 eV per formula unit
Density of states at the Fermi level: 3.0 states/eV/cell
Theoretical density: 4.167 g cm⁻³
Formation enthalpy at 0 K: -400 meV/atom

Cell: 4.355 5.800 11.728 Å, 90.00 90.00 90.00°
Element x y z (fractional)
Ca: 0.000 0.000 0.000
Ca: 0.000 0.500 0.500
Ca: 0.500 0.000 0.500
Ca: 0.500 0.500 0.000
In: 0.000 0.000 0.717
In: 0.000 0.500 0.217
In: 0.500 0.000 0.217
In: 0.500 0.500 0.717
P: 0.000 0.000 0.353
P: 0.000 0.500 0.853
P: 0.500 0.000 0.853
P: 0.500 0.500 0.353

---

First-principles (PBE) data for a relaxed CaInP crystal, as listed in the Alexandria database.

Calculated values
Uncorrected energy: -11.23 eV per formula unit
Density of states at the Fermi level: 11.7 states/eV/cell
Theoretical density: 3.662 g cm⁻³
Formation enthalpy at 0 K: -360 meV/atom

Cell: 6.960 6.960 6.960 Å, 90.00 90.00 90.00°
Element x y z (fractional)
Ca: 0.000 0.000 0.000
Ca: 0.000 0.500 0.500
Ca: 0.500 0.000 0.500
Ca: 0.500 0.500 0.000
In: 0.000 0.000 0.500
In: 0.000 0.500 0.000
In: 0.500 0.000 0.000
In: 0.500 0.500 0.500
P: 0.250 0.250 0.250
P: 0.250 0.750 0.750
P: 0.750 0.250 0.750
P: 0.750 0.750 0.250